# 1
AcPr8Dy2: relaxed, GGA-PBE.

Calculated values
DFT formation energy	0.158	eV/atom
space-group type	C2/m, No. 12
energy above the lowest structure with this stoichiometry	44.2	meV/atom
E_tot	-4.5282	eV/atom

Cell: 6.929 10.691 10.691 Å, 37.77 58.22 58.22°
Sites, in units of the cell vectors:
1 Pr 0.243 0.359 0.823
2 Dy 0.368 0.211 0.211
3 Pr 0.757 0.177 0.641
4 Ac 0.000 0.000 0.000
5 Pr 0.816 0.238 0.238
6 Pr 0.757 0.641 0.177
7 Pr 0.732 0.594 0.594
8 Pr 0.184 0.762 0.762
9 Dy 0.632 0.789 0.789
10 Pr 0.243 0.823 0.359
11 Pr 0.268 0.406 0.406

---

# 2
Zn2CdPt2: relaxed, GGA-PBE.

Calculated values
DFT formation energy	-0.433	eV/atom
space-group type	P4/mbm, No. 127
energy above the lowest structure with this stoichiometry	1.6	meV/atom
E_tot	-3.5421	eV/atom

Cell: 7.501 7.501 2.914 Å, 90.00 90.00 90.00°
Sites, in units of the cell vectors:
1 Pt 0.147 0.353 0.000
2 Zn 0.350 0.150 0.500
3 Pt 0.853 0.647 0.000
4 Pt 0.353 0.853 0.000
5 Zn 0.650 0.850 0.500
6 Zn 0.850 0.350 0.500
7 Cd 0.000 0.000 0.000
8 Pt 0.647 0.147 0.000
9 Zn 0.150 0.650 0.500
10 Cd 0.500 0.500 0.000

---

# 3
MoIr2Rh: relaxed, GGA-PBE.

Calculated values
DFT formation energy	0.887	eV/atom
space-group type	I-42d, No. 122
energy above the lowest structure with this stoichiometry	1131.6	meV/atom
E_tot	-8.0896	eV/atom

Cell: 5.680 5.680 6.750 Å, 65.12 65.12 90.00°
Sites, in units of the cell vectors:
1 Ir 0.123 0.625 0.250
2 Rh 0.750 0.250 0.500
3 Ir 0.627 0.125 0.250
4 Rh 0.000 0.000 0.000
5 Ir 0.375 0.373 0.750
6 Ir 0.875 0.877 0.750
7 Mo 0.250 0.750 0.500
8 Mo 0.500 0.500 0.000

---

# 4
YSeN: relaxed, GGA-PBE.

Calculated values
space-group type	C2/m, No. 12
energy above the lowest structure with this stoichiometry	0.0	meV/atom
E_tot	-7.3165	eV/atom

Cell: 3.947 5.704 5.968 Å, 72.90 66.77 73.82°
Sites, in units of the cell vectors:
1 Y 0.948 0.241 0.758
2 Se 0.307 0.693 0.693
3 N 0.398 0.062 0.938
4 Y 0.052 0.759 0.242
5 Se 0.693 0.307 0.307
6 N 0.602 0.938 0.062

---

# 5
TePdIN2: relaxed, GGA-PBE.

Calculated values
space-group type	P4/mmm, No. 123
energy above the lowest structure with this stoichiometry	218.5	meV/atom
E_tot	-3.7563	eV/atom

Cell: 4.154 4.154 7.268 Å, 90.00 90.00 90.00°
Each line ends with the local moment (μB).
Sites, in units of the cell vectors:
1 I 0.000 0.000 0.500  0.01
2 Te 0.500 0.500 0.500  0.03
3 Pd 0.000 0.000 0.000  0.45
4 N 0.500 0.000 0.000  1.15
5 N 0.000 0.500 0.000  1.15

---

# 6
MnNbCo2Ru: relaxed, GGA-PBE.

Calculated values
DFT formation energy	1.345	eV/atom
space-group type	P4/mmm, No. 123
E_tot	-7.2008	eV/atom

Cell: 4.353 4.522 4.353 Å, 90.00 90.00 90.00°
Each line ends with the local moment (μB).
Sites, in units of the cell vectors:
1 Mn 0.000 0.500 0.000  3.20
2 Ru 0.000 0.000 0.000  -0.02
3 Co 0.500 0.000 0.000  0.52
4 Nb 0.500 0.500 0.500  -1.19
5 Co 0.000 0.000 0.500  0.56

---

Question: Which value of E_tot does entry 3 give?
Answer: -8.0896 eV/atom